Here is an optimized crystal structure of Te4MoW2Se2 from the Alexandria database. Energies are from PBEsol.

Unit cell a=3.412 b=3.412 c=21.569 alpha=90.00 beta=90.00 gamma=120.00
Fractional coordinates of all 9 atoms:
W: 0.333 0.667 0.971
W: 0.333 0.667 0.330
Te: 0.333 0.667 0.743
Te: 0.000 0.000 0.244
Te: 0.333 0.667 0.572
Te: 0.000 0.000 0.416
Se: 0.000 0.000 0.047
Se: 0.000 0.000 0.896
Mo: 0.000 0.000 0.658

Computed properties:
**Calculated volume**: 24.2 A^3/atom
**Uncorrected energy**: -63.78 eV/cell
**Crystal system**: trigonal
**Energy relative to the elements, uncorrected**: -288 meV/atom



Here is an optimized crystal structure of Te2MoW3Se6 from the Alexandria database. Energies are from PBEsol.

Unit cell a=3.321 b=3.321 c=26.742 alpha=90.00 beta=90.00 gamma=120.00
Fractional coordinates of all 12 atoms:
Se: 0.000 0.000 0.556
Se: 0.000 0.000 0.943
Se: 0.333 0.667 0.187
Se: 0.333 0.667 0.311
Se: 0.000 0.000 0.432
Se: 0.000 0.000 0.067
W: 0.000 0.000 0.249
W: 0.333 0.667 0.494
W: 0.333 0.667 0.005
Te: 0.333 0.667 0.679
Te: 0.333 0.667 0.820
Mo: 0.000 0.000 0.750

Computed properties:
**Calculated volume**: 21.3 A^3/atom
**Uncorrected energy**: -89.24 eV/cell
**Crystal system**: trigonal
**Energy relative to the elements, uncorrected**: -491 meV/atom



Here is an optimized crystal structure of Te4MoW2Se2 from the Alexandria database. Energies are from PBEsol.

Unit cell a=3.417 b=3.417 c=21.440 alpha=90.00 beta=90.00 gamma=120.00
Fractional coordinates of all 9 atoms:
Te: 0.333 0.667 0.226
Te: 0.333 0.667 0.602
Te: 0.333 0.667 0.398
Te: 0.333 0.667 0.774
W: 0.667 0.333 0.312
W: 0.667 0.333 0.688
Mo: 0.333 0.667 0.000
Se: 0.667 0.333 0.925
Se: 0.667 0.333 0.075

Computed properties:
**Calculated volume**: 24.1 A^3/atom
**Uncorrected energy**: -63.55 eV/cell
**Crystal system**: hexagonal
**Energy relative to the elements, uncorrected**: -263 meV/atom



Here is an optimized crystal structure of Te2MoWSe2 from the Alexandria database. Energies are from PBEsol.

Unit cell a=3.373 b=3.373 c=13.562 alpha=90.00 beta=90.00 gamma=120.00
Fractional coordinates of all 6 atoms:
W: 0.333 0.667 0.949
Te: 0.333 0.667 0.312
Te: 0.333 0.667 0.586
Se: 0.000 0.000 0.828
Se: 0.000 0.000 0.070
Mo: 0.000 0.000 0.449

Computed properties:
**Calculated volume**: 22.3 A^3/atom
**Uncorrected energy**: -42.78 eV/cell
**Crystal system**: hexagonal
**Energy relative to the elements, uncorrected**: -408 meV/atom



Here is an optimized crystal structure of Te6Mo3WSe2 from the Alexandria database. Energies are from PBEsol.

Unit cell a=3.434 b=3.434 c=27.451 alpha=90.00 beta=90.00 gamma=120.00
Fractional coordinates of all 12 atoms:
Mo: 0.667 0.333 0.749
Mo: 0.000 0.000 0.993
Mo: 0.667 0.333 0.249
Te: 0.000 0.000 0.316
Te: 0.667 0.333 0.573
Te: 0.667 0.333 0.060
Te: 0.667 0.333 0.926
Te: 0.667 0.333 0.439
Te: 0.000 0.000 0.183
Se: 0.000 0.000 0.690
Se: 0.000 0.000 0.808
W: 0.000 0.000 0.506

Computed properties:
**Calculated volume**: 23.4 A^3/atom
**Uncorrected energy**: -81.85 eV/cell
**Crystal system**: trigonal
**Energy relative to the elements, uncorrected**: -323 meV/atom



Here is an optimized crystal structure of Te2MoW2Se4 from the Alexandria database. Energies are from PBEsol.

Unit cell a=3.338 b=3.338 c=20.948 alpha=90.00 beta=90.00 gamma=120.00
Fractional coordinates of all 9 atoms:
Se: 0.000 0.000 0.246
Se: 0.000 0.000 0.404
Se: 0.000 0.000 0.754
Se: 0.000 0.000 0.596
Mo: 0.000 0.000 0.000
W: 0.333 0.667 0.325
W: 0.333 0.667 0.675
Te: 0.333 0.667 0.911
Te: 0.333 0.667 0.089

Computed properties:
**Calculated volume**: 22.5 A^3/atom
**Uncorrected energy**: -65.96 eV/cell
**Crystal system**: hexagonal
**Energy relative to the elements, uncorrected**: -458 meV/atom



Here is an optimized crystal structure of TlMo3Se3 from the Alexandria database. Energies are from PBEsol.

Unit cell a=4.468 b=8.866 c=8.866 alpha=120.00 beta=90.00 gamma=90.00
Fractional coordinates of all 14 atoms:
Mo: 0.750 0.814 0.847
Mo: 0.250 0.186 0.153
Mo: 0.250 0.847 0.033
Mo: 0.250 0.967 0.814
Mo: 0.750 0.033 0.186
Mo: 0.750 0.153 0.967
Se: 0.750 0.933 0.633
Se: 0.250 0.633 0.699
Se: 0.250 0.067 0.367
Se: 0.250 0.301 0.933
Se: 0.750 0.367 0.301
Se: 0.750 0.699 0.067
Tl: 0.750 0.333 0.667
Tl: 0.250 0.667 0.333

Computed properties:
**Calculated volume**: 21.7 A^3/atom
**Uncorrected energy**: -105.77 eV/cell
**Crystal system**: hexagonal
**Energy relative to the elements, uncorrected**: -486 meV/atom



Here is an optimized crystal structure of Tl2Mo9Se11 from the Alexandria database. Energies are from PBEsol.

Unit cell a=9.544 b=9.544 c=13.252 alpha=68.89 beta=68.89 gamma=60.00
Fractional coordinates of all 44 atoms:
Se: 0.734 0.355 0.920
Se: 0.914 0.914 0.259
Se: 0.208 0.553 0.403
Se: 0.991 0.734 0.920
Se: 0.556 0.292 0.236
Se: 0.447 0.164 0.597
Se: 0.351 0.351 0.946
Se: 0.444 0.708 0.764
Se: 0.266 0.645 0.080
Se: 0.292 0.916 0.236
Se: 0.084 0.444 0.764
Se: 0.645 0.009 0.080
Se: 0.086 0.086 0.741
Se: 0.916 0.556 0.236
Se: 0.553 0.836 0.403
Se: 0.708 0.084 0.764
Se: 0.355 0.991 0.920
Se: 0.164 0.792 0.597
Se: 0.792 0.447 0.597
Se: 0.009 0.266 0.080
Se: 0.836 0.208 0.403
Se: 0.649 0.649 0.054
Mo: 0.520 0.375 0.409
Mo: 0.573 0.390 0.780
Mo: 0.375 0.696 0.409
Mo: 0.304 0.480 0.591
Mo: 0.743 0.427 0.220
Mo: 0.427 0.610 0.220
Mo: 0.816 0.138 0.094
Mo: 0.048 0.184 0.906
Mo: 0.138 0.952 0.094
Mo: 0.952 0.816 0.094
Mo: 0.257 0.573 0.780
Mo: 0.862 0.048 0.906
Mo: 0.390 0.257 0.780
Mo: 0.480 0.625 0.591
Mo: 0.184 0.862 0.906
Mo: 0.610 0.743 0.220
Mo: 0.625 0.304 0.591
Mo: 0.696 0.520 0.409
Tl: 0.829 0.829 0.512
Tl: 0.268 0.268 0.197
Tl: 0.732 0.732 0.803
Tl: 0.171 0.171 0.488

Computed properties:
**Calculated volume**: 21.6 A^3/atom
**Uncorrected energy**: -329.93 eV/cell
**Crystal system**: trigonal
**Energy relative to the elements, uncorrected**: -520 meV/atom



Here is an optimized crystal structure of Tl2Mo15Se19 from the Alexandria database. Energies are from PBEsol.

Unit cell a=9.577 b=9.577 c=20.112 alpha=76.23 beta=76.23 gamma=60.00
Fractional coordinates of all 72 atoms:
Se: 0.750 0.061 0.750
Se: 0.442 0.813 0.549
Se: 0.942 0.696 0.049
Se: 0.554 0.554 0.337
Se: 0.039 0.685 0.857
Se: 0.315 0.581 0.143
Se: 0.304 0.687 0.951
Se: 0.685 0.419 0.857
Se: 0.187 0.804 0.451
Se: 0.687 0.058 0.951
Se: 0.946 0.946 0.163
Se: 0.185 0.539 0.357
Se: 0.313 0.942 0.049
Se: 0.250 0.939 0.250
Se: 0.061 0.439 0.750
Se: 0.961 0.315 0.143
Se: 0.539 0.919 0.357
Se: 0.813 0.196 0.549
Se: 0.824 0.824 0.528
Se: 0.561 0.250 0.250
Se: 0.058 0.304 0.951
Se: 0.581 0.961 0.143
Se: 0.696 0.313 0.049
Se: 0.939 0.561 0.250
Se: 0.054 0.054 0.837
Se: 0.461 0.081 0.643
Se: 0.176 0.176 0.472
Se: 0.804 0.558 0.451
Se: 0.324 0.324 0.028
Se: 0.081 0.815 0.643
Se: 0.419 0.039 0.857
Se: 0.196 0.442 0.549
Se: 0.439 0.750 0.750
Se: 0.919 0.185 0.357
Se: 0.815 0.461 0.643
Se: 0.558 0.187 0.451
Se: 0.446 0.446 0.663
Se: 0.676 0.676 0.972
Mo: 0.310 0.629 0.559
Mo: 0.776 0.955 0.632
Mo: 0.750 0.590 0.750
Mo: 0.410 0.090 0.250
Mo: 0.998 0.871 0.941
Mo: 0.364 0.224 0.368
Mo: 0.002 0.129 0.059
Mo: 0.629 0.502 0.559
Mo: 0.955 0.636 0.632
Mo: 0.498 0.690 0.441
Mo: 0.690 0.371 0.441
Mo: 0.910 0.750 0.750
Mo: 0.276 0.136 0.132
Mo: 0.224 0.045 0.368
Mo: 0.864 0.545 0.868
Mo: 0.136 0.455 0.132
Mo: 0.090 0.250 0.250
Mo: 0.129 0.810 0.059
Mo: 0.810 0.002 0.059
Mo: 0.502 0.310 0.559
Mo: 0.871 0.190 0.941
Mo: 0.455 0.276 0.132
Mo: 0.190 0.998 0.941
Mo: 0.371 0.498 0.441
Mo: 0.250 0.410 0.250
Mo: 0.724 0.864 0.868
Mo: 0.045 0.364 0.368
Mo: 0.545 0.724 0.868
Mo: 0.590 0.910 0.750
Mo: 0.636 0.776 0.632
Tl: 0.610 0.610 0.170
Tl: 0.890 0.890 0.330
Tl: 0.110 0.110 0.670
Tl: 0.390 0.390 0.830

Computed properties:
**Calculated volume**: 21.3 A^3/atom
**Uncorrected energy**: -548.05 eV/cell
**Crystal system**: trigonal
**Energy relative to the elements, uncorrected**: -530 meV/atom



Here is an optimized crystal structure of TlMo3Se from the Alexandria database. Energies are from PBEsol.

Unit cell a=4.933 b=4.933 c=4.933 alpha=90.00 beta=90.00 gamma=90.00
Fractional coordinates of all 5 atoms:
Mo: 0.500 0.000 0.000
Mo: 0.000 0.500 0.000
Mo: 0.000 0.000 0.500
Se: 0.500 0.500 0.500
Tl: 0.000 0.000 0.000

Computed properties:
**Calculated volume**: 24.0 A^3/atom
**Uncorrected energy**: -27.73 eV/cell
**Crystal system**: cubic
**Energy relative to the elements, uncorrected**: 2812 meV/atom



Here is an optimized crystal structure of TlMo2Se from the Alexandria database. Energies are from PBEsol.

Unit cell a=4.551 b=4.551 c=4.551 alpha=60.00 beta=60.00 gamma=60.00
Fractional coordinates of all 4 atoms:
Tl: 0.500 0.500 0.500
Mo: 0.250 0.250 0.250
Mo: 0.750 0.750 0.750
Se: 0.000 0.000 0.000

Computed properties:
**Calculated volume**: 16.7 A^3/atom
**Uncorrected energy**: -27.54 eV/cell
**Crystal system**: cubic
**Energy relative to the elements, uncorrected**: 618 meV/atom



Here is an optimized crystal structure of TlMo2Se from the Alexandria database. Energies are from PBEsol.

Unit cell a=3.131 b=5.233 c=5.208 alpha=117.19 beta=102.98 gamma=98.71
Fractional coordinates of all 4 atoms:
Tl: 0.500 0.000 0.000
Mo: 0.500 0.500 0.500
Mo: 0.000 0.000 0.500
Se: 0.000 0.500 0.000

Computed properties:
**Calculated volume**: 17.7 A^3/atom
**Uncorrected energy**: -26.88 eV/cell
**Crystal system**: monoclinic
**Energy relative to the elements, uncorrected**: 783 meV/atom



Here is an optimized crystal structure of TlMo2Se from the Alexandria database. Energies are from PBEsol.

Unit cell a=3.197 b=4.568 c=4.568 alpha=90.00 beta=90.00 gamma=90.00
Fractional coordinates of all 4 atoms:
Mo: 0.000 0.500 0.000
Mo: 0.000 0.000 0.500
Se: 0.500 0.500 0.500
Tl: 0.500 0.000 0.000

Computed properties:
**Calculated volume**: 16.7 A^3/atom
**Uncorrected energy**: -27.68 eV/cell
**Crystal system**: tetragonal
**Energy relative to the elements, uncorrected**: 583 meV/atom



Here is an optimized crystal structure of MoWSe3 from the Alexandria database. Energies are from PBEsol.

Unit cell a=4.871 b=4.871 c=4.871 alpha=90.00 beta=90.00 gamma=90.00
Each line ends with the local moment (μB).
Fractional coordinates of all 5 atoms:
Mo: 0.500 0.500 0.500  3.79
Se: 0.000 0.000 0.500  -0.07
Se: 0.500 0.000 0.000  -0.07
Se: 0.000 0.500 0.000  -0.07
W: 0.000 0.000 0.000  0.33

Computed properties:
**Calculated volume**: 23.1 A^3/atom
**Uncorrected energy**: -32.08 eV/cell
**Crystal system**: cubic
**Energy relative to the elements, uncorrected**: 1010 meV/atom



Here is an optimized crystal structure of Mo3WSe8 from the Alexandria database. Energies are from PBEsol.

Unit cell a=3.268 b=3.268 c=26.197 alpha=90.00 beta=90.00 gamma=120.00
Fractional coordinates of all 12 atoms:
W: 0.000 0.000 0.499
Se: 0.667 0.333 0.435
Se: 0.667 0.333 0.063
Se: 0.000 0.000 0.185
Se: 0.000 0.000 0.686
Se: 0.000 0.000 0.313
Se: 0.667 0.333 0.563
Se: 0.000 0.000 0.813
Se: 0.667 0.333 0.936
Mo: 0.667 0.333 0.249
Mo: 0.000 0.000 0.999
Mo: 0.667 0.333 0.750

Computed properties:
**Calculated volume**: 20.2 A^3/atom
**Uncorrected energy**: -88.12 eV/cell
**Crystal system**: trigonal
**Energy relative to the elements, uncorrected**: -684 meV/atom



Here is an optimized crystal structure of YMoSe2 from the Alexandria database. Energies are from PBEsol.

Unit cell a=3.253 b=3.253 c=6.753 alpha=90.00 beta=90.00 gamma=90.11
Fractional coordinates of all 4 atoms:
Y: 0.500 0.500 0.500
Mo: 0.500 0.500 0.000
Se: 0.000 0.000 0.777
Se: 0.000 0.000 0.223

Computed properties:
**Calculated volume**: 17.9 A^3/atom
**Uncorrected energy**: -28.65 eV/cell
**Crystal system**: orthorhombic
**Energy relative to the elements, uncorrected**: -591 meV/atom



Here is an optimized crystal structure of Y4MoSe from the Alexandria database. Energies are from PBEsol.

Unit cell a=5.948 b=5.948 c=5.948 alpha=60.00 beta=60.00 gamma=60.00
Fractional coordinates of all 6 atoms:
Y: 0.377 0.868 0.377
Y: 0.868 0.377 0.377
Y: 0.377 0.377 0.868
Y: 0.377 0.377 0.377
Se: 0.000 0.000 0.000
Mo: 0.750 0.750 0.750

Computed properties:
**Calculated volume**: 24.8 A^3/atom
**Uncorrected energy**: -38.50 eV/cell
**Crystal system**: cubic
**Energy relative to the elements, uncorrected**: 734 meV/atom



Here is an optimized crystal structure of YMoSe2 from the Alexandria database. Energies are from PBEsol.

Unit cell a=3.449 b=4.013 c=5.780 alpha=90.00 beta=93.85 gamma=90.00
Fractional coordinates of all 4 atoms:
Se: 0.874 0.000 0.740
Se: 0.126 0.000 0.260
Mo: 0.000 0.500 0.500
Y: 0.500 0.500 0.000

Computed properties:
**Calculated volume**: 20.0 A^3/atom
**Uncorrected energy**: -28.47 eV/cell
**Crystal system**: monoclinic
**Energy relative to the elements, uncorrected**: -546 meV/atom



Here is an optimized crystal structure of Y2MoSe from the Alexandria database. Energies are from PBEsol.

Unit cell a=3.533 b=4.874 c=4.874 alpha=90.16 beta=90.00 gamma=90.00
Fractional coordinates of all 4 atoms:
Y: 0.000 0.000 0.500
Y: 0.000 0.500 0.000
Se: 0.500 0.500 0.500
Mo: 0.500 0.000 0.000

Computed properties:
**Calculated volume**: 21.0 A^3/atom
**Uncorrected energy**: -30.67 eV/cell
**Crystal system**: orthorhombic
**Energy relative to the elements, uncorrected**: -352 meV/atom



Here is an optimized crystal structure of Zn2MoSe from the Alexandria database. Energies are from PBEsol.

Unit cell a=3.381 b=3.892 c=5.232 alpha=111.83 beta=108.85 gamma=90.00
Fractional coordinates of all 4 atoms:
Zn: 0.749 0.749 0.498
Zn: 0.251 0.251 0.502
Mo: 0.500 0.000 0.000
Se: 0.000 0.500 0.000

Computed properties:
**Calculated volume**: 15.0 A^3/atom
**Uncorrected energy**: -17.91 eV/cell
**Crystal system**: orthorhombic
**Energy relative to the elements, uncorrected**: 219 meV/atom